! CeZrCu4 PBE-GGA relaxed; values from VASP
! Mass density: 8.29 g cm⁻³
! Energy above the most stable polymorph in this dataset: 0.56 eV/f.u.
&SYSTEM
  ibrav = 0, nat = 6, ntyp = 3
/
ATOMIC_SPECIES
Ce 140.12 Ce.upf
Cu 63.55 Cu.upf
Zr 91.22 Zr.upf
CELL_PARAMETERS angstrom
-1.134 4.925 1.048
-4.011 2.275 -2.320
-4.237 1.152 2.713
ATOMIC_POSITIONS crystal
Ce 0.250 0.250 0.250
Cu 0.122 0.626 0.626
Cu 0.626 0.626 0.122
Cu 0.626 0.122 0.626
Cu 0.626 0.626 0.626
Zr 0.000 0.000 0.000

=====

! TbZnPt2 PBE-GGA relaxed; values from VASP
! Mass density: 14.18 g cm⁻³
&SYSTEM
  ibrav = 0, nat = 4, ntyp = 3
/
ATOMIC_SPECIES
Tb 158.93 Tb.upf
Pt 195.08 Pt.upf
Zn 65.41 Zn.upf
CELL_PARAMETERS angstrom
-1.914 -1.934 2.871
-0.744 -3.236 -2.677
3.658 -1.835 1.202
ATOMIC_POSITIONS crystal
Tb 0.500 0.500 0.500
Pt 0.000 0.500 0.000
Pt 0.000 0.000 0.500
Zn 0.500 0.000 0.000

=====

Number 1: DOS(E_F) 8.24 states/eV per cell, uncorrected energy -5.199 eV per atom. Number 2: DOS(E_F) 1.53 states/eV per cell, uncorrected energy -5.308 eV per atom.